Material: SiSb3Ru
Method: DFT, PBE
State: optimized geometry

Calculated values
Size of the total moment ... 0.00 μB per formula unit
Total DFT energy (no corrections) ... -4.717 eV/atom
Offset from the most stable computed form ... 0.000 eV per atom

```
data_SiSb3Ru
_chemical_formula_sum 'Si1 Sb3 Ru1'
_cell_length_a 5.097
_cell_length_b 5.097
_cell_length_c 5.097
_cell_angle_alpha 90.00
_cell_angle_beta 90.00
_cell_angle_gamma 90.00
_symmetry_space_group_name_H-M 'P m -3 m'
_symmetry_Int_Tables_number 221
_symmetry_space_group_name_Hall '-P 4 2 3'
loop_
_atom_site_label
_atom_site_type_symbol
_atom_site_fract_x
_atom_site_fract_y
_atom_site_fract_z
_atom_site_occupancy
Si1 Si 0.000 0.000 0.000 1
Sb1 Sb 0.000 0.500 0.500 1
Ru1 Ru 0.500 0.500 0.500 1
```

Material: SiSbRu
Method: DFT, PBE
State: optimized geometry

Calculated values
Size of the total moment ... 0.00 μB per formula unit
Total DFT energy (no corrections) ... -6.333 eV/atom
Offset from the most stable computed form ... 0.000 eV per atom

```
data_SiSbRu
_chemical_formula_sum 'Si4 Sb4 Ru4'
_cell_length_a 6.084
_cell_length_b 6.084
_cell_length_c 6.084
_cell_angle_alpha 90.00
_cell_angle_beta 90.00
_cell_angle_gamma 90.00
_symmetry_space_group_name_H-M 'F -4 3 m'
_symmetry_Int_Tables_number 216
_symmetry_space_group_name_Hall 'F -4 2 3'
loop_
_atom_site_label
_atom_site_type_symbol
_atom_site_fract_x
_atom_site_fract_y
_atom_site_fract_z
_atom_site_occupancy
Si1 Si 0.000 0.000 0.000 1
Sb1 Sb 0.000 0.000 0.500 1
Ru1 Ru 0.250 0.250 0.750 1
```

Material: Si3SbRu
Method: DFT, PBE
State: optimized geometry

Calculated values
Size of the total moment ... 0.00 μB per formula unit
Total DFT energy (no corrections) ... -5.567 eV/atom
Offset from the most stable computed form ... 0.000 eV per atom

```
data_Si3SbRu
_chemical_formula_sum 'Si3 Sb1 Ru1'
_cell_length_a 4.664
_cell_length_b 4.664
_cell_length_c 4.664
_cell_angle_alpha 90.00
_cell_angle_beta 90.00
_cell_angle_gamma 90.00
_symmetry_space_group_name_H-M 'P m -3 m'
_symmetry_Int_Tables_number 221
_symmetry_space_group_name_Hall '-P 4 2 3'
loop_
_atom_site_label
_atom_site_type_symbol
_atom_site_fract_x
_atom_site_fract_y
_atom_site_fract_z
_atom_site_occupancy
Si1 Si 0.000 0.000 0.500 1
Sb1 Sb 0.500 0.500 0.500 1
Ru1 Ru 0.000 0.000 0.000 1
```

Material: Sr2SiSbRu
Method: DFT, PBE
State: optimized geometry

Calculated values
Size of the total moment ... 0.00 μB per formula unit
Total DFT energy (no corrections) ... -4.565 eV/atom

```
data_Sr2SiSbRu
_chemical_formula_sum 'Sr2 Si1 Sb1 Ru1'
_cell_length_a 5.776
_cell_length_b 5.776
_cell_length_c 4.525
_cell_angle_alpha 90.00
_cell_angle_beta 90.00
_cell_angle_gamma 90.00
_symmetry_space_group_name_H-M 'P 4/m m m'
_symmetry_Int_Tables_number 123
_symmetry_space_group_name_Hall '-P 4 2'
loop_
_atom_site_label
_atom_site_type_symbol
_atom_site_fract_x
_atom_site_fract_y
_atom_site_fract_z
_atom_site_occupancy
Sr1 Sr 0.000 0.500 0.000 1
Si1 Si 0.000 0.000 0.500 1
Sb1 Sb 0.500 0.500 0.500 1
Ru1 Ru 0.000 0.000 0.000 1
```

Material: SiSb2TeRu
Method: DFT, PBE
State: optimized geometry

Calculated values
Size of the total moment ... 0.11 μB per formula unit
Total DFT energy (no corrections) ... -4.025 eV/atom
Offset from the most stable computed form ... 0.476 eV per atom

```
data_SiSb2TeRu
_chemical_formula_sum 'Si1 Sb2 Te1 Ru1'
_cell_length_a 5.027
_cell_length_b 5.027
_cell_length_c 5.069
_cell_angle_alpha 90.00
_cell_angle_beta 90.00
_cell_angle_gamma 90.00
_symmetry_space_group_name_H-M 'P 4/m m m'
_symmetry_Int_Tables_number 123
_symmetry_space_group_name_Hall '-P 4 2'
loop_
_atom_site_label
_atom_site_type_symbol
_atom_site_fract_x
_atom_site_fract_y
_atom_site_fract_z
_atom_site_occupancy
Si1 Si 0.000 0.000 0.000 1
Sb1 Sb 0.000 0.500 0.000 1
Te1 Te 0.000 0.000 0.500 1
Ru1 Ru 0.500 0.500 0.500 1
```

Material: SiSb2TeRu
Method: DFT, PBE
State: optimized geometry

Calculated values
Size of the total moment ... 0.00 μB per formula unit
Total DFT energy (no corrections) ... -4.502 eV/atom
Offset from the most stable computed form ... 0.000 eV per atom

```
data_SiSb2TeRu
_chemical_formula_sum 'Si1 Sb2 Te1 Ru1'
_cell_length_a 4.967
_cell_length_b 4.967
_cell_length_c 5.644
_cell_angle_alpha 90.00
_cell_angle_beta 90.00
_cell_angle_gamma 90.00
_symmetry_space_group_name_H-M 'P 4/m m m'
_symmetry_Int_Tables_number 123
_symmetry_space_group_name_Hall '-P 4 2'
loop_
_atom_site_label
_atom_site_type_symbol
_atom_site_fract_x
_atom_site_fract_y
_atom_site_fract_z
_atom_site_occupancy
Si1 Si 0.000 0.000 0.000 1
Sb1 Sb 0.000 0.500 0.500 1
Te1 Te 0.500 0.500 0.000 1
Ru1 Ru 0.500 0.500 0.500 1
```

Material: U2Si2SbRu5
Method: DFT, PBE
State: optimized geometry

Calculated values
Size of the total moment ... 3.30 μB per formula unit
Total DFT energy (no corrections) ... -8.825 eV/atom

```
data_U2Si2SbRu5
_chemical_formula_sum 'U4 Si4 Sb2 Ru10'
_cell_length_a 9.804
_cell_length_b 9.804
_cell_length_c 3.489
_cell_angle_alpha 90.00
_cell_angle_beta 90.00
_cell_angle_gamma 90.00
_symmetry_space_group_name_H-M 'P 4/m b m'
_symmetry_Int_Tables_number 127
_symmetry_space_group_name_Hall '-P 4 2ab'
loop_
_atom_site_label
_atom_site_type_symbol
_atom_site_fract_x
_atom_site_fract_y
_atom_site_fract_z
_atom_site_occupancy
U1 U 0.177 0.323 0.000 1
Si1 Si 0.121 0.621 0.000 1
Sb1 Sb 0.000 0.000 0.000 1
Ru1 Ru 0.000 0.500 0.500 1
Ru2 Ru 0.073 0.786 0.500 1
```

Material: SmSb12Ru4
Method: DFT, PBE
State: optimized geometry

Calculated values
Size of the total moment ... 0.00 μB per formula unit
Total DFT energy (no corrections) ... -5.682 eV/atom

```
data_SmSb12Ru4
_chemical_formula_sum 'Sm2 Sb24 Ru8'
_cell_length_a 9.380
_cell_length_b 9.380
_cell_length_c 9.380
_cell_angle_alpha 90.00
_cell_angle_beta 90.00
_cell_angle_gamma 90.00
_symmetry_space_group_name_H-M 'I m -3'
_symmetry_Int_Tables_number 204
_symmetry_space_group_name_Hall '-I 2 2 3'
loop_
_atom_site_label
_atom_site_type_symbol
_atom_site_fract_x
_atom_site_fract_y
_atom_site_fract_z
_atom_site_occupancy
Sm1 Sm 0.000 0.000 0.000 1
Sb1 Sb 0.000 0.339 0.158 1
Ru1 Ru 0.250 0.250 0.250 1
```